The following is a DFT calculation (PBE) of a relaxed structure of SrPrGaHg.

Results
* space group: F-43m (216)
* energy of formation from the pure elements: -0.457 eV/atom

a = 5.4799 Å, b = 5.4799 Å, c = 5.4799 Å
α = 60.00°, β = 60.00°, γ = 60.00°
With the nearest neighbours (Å) after each atom.
Sites, in units of the cell vectors:
Pr: 0.7500 0.7500 0.7500  4 Hg 3.36, 4 Ga 3.36
Sr: 0.2500 0.2500 0.2500  4 Ga 3.36, 4 Hg 3.36
Hg: 0.0000 0.0000 0.0000  4 Pr 3.36, 4 Sr 3.36
Ga: 0.5000 0.5000 0.5000  4 Sr 3.36, 4 Pr 3.36